No. 1
Computed, not measured: a geometry-optimized YRuPtF2 structure at the PBE-GGA level of DFT. Values from VASP.

Quantum ESPRESSO input file:
```
&SYSTEM
  ibrav = 0, nat = 5, ntyp = 4
/
ATOMIC_SPECIES
Y 88.91 Y.upf
Ru 101.07 Ru.upf
Pt 195.08 Pt.upf
F 19.00 F.upf
CELL_PARAMETERS angstrom
4.0935 0.0000 0.0000
0.0000 6.2704 0.0000
0.0000 0.0000 4.0935
ATOMIC_POSITIONS angstrom
Y 0.0000 0.0000 0.0000
Ru 0.0000 3.1352 0.0000
Pt 2.0467 3.1352 2.0467
F 0.0000 0.0000 2.0467
F 2.0467 0.0000 0.0000
```

---

No. 2
Computed, not measured: a geometry-optimized PtSF3 structure at the PBE-GGA level of DFT. Values from VASP.

Quantum ESPRESSO input file:
```
&SYSTEM
  ibrav = 0, nat = 5, ntyp = 3
/
ATOMIC_SPECIES
S 32.06 S.upf
Pt 195.08 Pt.upf
F 19.00 F.upf
CELL_PARAMETERS angstrom
4.2626 0.0000 0.0000
0.0000 4.2626 0.0000
0.0000 0.0000 4.2626
ATOMIC_POSITIONS angstrom
S 2.1313 2.1313 2.1313
Pt 0.0000 0.0000 0.0000
F 0.0000 2.1313 0.0000
F 0.0000 0.0000 2.1313
F 2.1313 0.0000 0.0000
```

The value obtained for the excess energy over the best structure of this formula in the dataset is 0 meV per atom.

---

No. 3
Computed, not measured: a geometry-optimized PtSF structure at the PBE-GGA level of DFT. Values from VASP.

Quantum ESPRESSO input file:
```
&SYSTEM
  ibrav = 0, nat = 3, ntyp = 3
/
ATOMIC_SPECIES
S 32.06 S.upf
Pt 195.08 Pt.upf
F 19.00 F.upf
CELL_PARAMETERS angstrom
-0.4136 -3.4825 -0.3804
1.7195 1.2761 2.8032
-4.0266 0.2193 2.3700
ATOMIC_POSITIONS angstrom
S -1.2947 -0.1846 3.0976
Pt -1.0919 -1.8206 1.4986
F -0.3341 0.0182 0.1966
```

The value obtained for the excess energy over the best structure of this formula in the dataset is 40 meV per atom.

---

No. 4
Computed, not measured: a geometry-optimized PtSF3 structure at the PBE-GGA level of DFT. Values from VASP.

Quantum ESPRESSO input file:
```
&SYSTEM
  ibrav = 0, nat = 5, ntyp = 3
/
ATOMIC_SPECIES
S 32.06 S.upf
Pt 195.08 Pt.upf
F 19.00 F.upf
CELL_PARAMETERS angstrom
4.2030 0.0000 0.0000
0.0000 4.2030 0.0000
0.0000 0.0000 4.2030
ATOMIC_POSITIONS angstrom
S 0.0000 0.0000 0.0000
Pt 2.1015 2.1015 2.1015
F 0.0000 2.1015 0.0000
F 0.0000 0.0000 2.1015
F 2.1015 0.0000 0.0000
```

The value obtained for the excess energy over the best structure of this formula in the dataset is 481 meV per atom.

---

No. 5
Computed, not measured: a geometry-optimized PtSF structure at the PBE-GGA level of DFT. Values from VASP.

Quantum ESPRESSO input file:
```
&SYSTEM
  ibrav = 0, nat = 12, ntyp = 3
/
ATOMIC_SPECIES
S 32.06 S.upf
Pt 195.08 Pt.upf
F 19.00 F.upf
CELL_PARAMETERS angstrom
-0.9829 -0.2138 3.3621
-4.2785 -4.2765 -1.5226
8.6247 -5.4086 2.1774
ATOMIC_POSITIONS angstrom
S 4.1136 -3.9962 0.9484
S 5.0787 -7.5829 1.0025
S -3.1128 -4.6818 0.6239
S 6.6575 -5.4768 3.4295
Pt 0.0910 -0.1173 0.0192
Pt 2.1122 -4.7070 0.3182
Pt -2.6284 -2.3535 0.9135
Pt -0.5538 -6.9650 1.2268
F 0.1526 -5.4962 -0.3049
F -0.5390 -2.1990 -0.2974
F 0.9768 -3.8044 1.8752
F 2.1571 -5.9609 2.0831
```

The value obtained for the excess energy over the best structure of this formula in the dataset is 26 meV per atom.

---

No. 6
Computed, not measured: a geometry-optimized PtS4F structure at the PBE-GGA level of DFT. Values from VASP.

Quantum ESPRESSO input file:
```
&SYSTEM
  ibrav = 0, nat = 12, ntyp = 3
/
ATOMIC_SPECIES
Pt 195.08 Pt.upf
S 32.06 S.upf
F 19.00 F.upf
CELL_PARAMETERS angstrom
-1.1938 1.0153 5.3607
5.1843 -1.0791 1.4229
4.4091 9.1946 2.0513
ATOMIC_POSITIONS angstrom
Pt 4.1998 4.5654 4.4175
Pt 2.2046 4.5973 1.0257
S 5.6828 8.1494 4.1120
S 0.4131 0.6756 2.1817
S 2.7168 0.9815 4.7229
S 7.9866 8.4552 6.6532
S 2.4523 5.4811 3.1661
S 5.0652 3.4494 2.5800
S 5.9473 3.6498 5.6688
S 3.3344 5.6814 6.2549
F 5.1964 7.4535 2.6598
F 3.2032 1.6774 6.1751
```

---

No. 7
Computed, not measured: a geometry-optimized PtS2F structure at the PBE-GGA level of DFT. Values from VASP.

Quantum ESPRESSO input file:
```
&SYSTEM
  ibrav = 0, nat = 4, ntyp = 3
/
ATOMIC_SPECIES
S 32.06 S.upf
Pt 195.08 Pt.upf
F 19.00 F.upf
CELL_PARAMETERS angstrom
3.5459 -6.1730 5.1745
4.1529 -7.2672 2.7195
5.8180 -5.3760 3.8347
ATOMIC_POSITIONS angstrom
S 12.2984 -17.1202 10.6715
S 1.2184 -1.6960 1.0572
Pt 0.0000 0.0000 0.0000
F 6.7584 -9.4081 5.8644
```

The value obtained for the excess energy over the best structure of this formula in the dataset is 526 meV per atom.

---

No. 8
Computed, not measured: a geometry-optimized PtSF2 structure at the PBE-GGA level of DFT. Values from VASP.

Quantum ESPRESSO input file:
```
&SYSTEM
  ibrav = 0, nat = 4, ntyp = 3
/
ATOMIC_SPECIES
S 32.06 S.upf
Pt 195.08 Pt.upf
F 19.00 F.upf
CELL_PARAMETERS angstrom
3.4756 -1.4190 1.7892
0.4549 -4.0703 0.7214
2.7291 -2.2137 -2.2240
ATOMIC_POSITIONS angstrom
S 0.0000 0.0000 0.0000
Pt 3.3298 -3.8515 0.1433
F 1.6649 -1.9257 0.0716
F 4.9947 -5.7772 0.2149
```

The value obtained for the excess energy over the best structure of this formula in the dataset is 792 meV per atom.

---

No. 9
Computed, not measured: a geometry-optimized PtS2F structure at the PBE-GGA level of DFT. Values from VASP.

Quantum ESPRESSO input file:
```
&SYSTEM
  ibrav = 0, nat = 4, ntyp = 3
/
ATOMIC_SPECIES
Pt 195.08 Pt.upf
S 32.06 S.upf
F 19.00 F.upf
CELL_PARAMETERS angstrom
3.4007 0.0042 0.0120
-0.0046 2.9443 0.3277
0.0327 0.6439 7.7250
ATOMIC_POSITIONS angstrom
Pt 2.9635 0.8370 1.3993
S 1.2554 0.6671 2.9021
S 1.2453 0.4574 4.7874
F 2.9726 1.7006 7.1540
```

The value obtained for the excess energy over the best structure of this formula in the dataset is 222 meV per atom.

---

No. 10
Computed, not measured: a geometry-optimized Pt2SF structure at the PBE-GGA level of DFT. Values from VASP.

Quantum ESPRESSO input file:
```
&SYSTEM
  ibrav = 0, nat = 8, ntyp = 3
/
ATOMIC_SPECIES
S 32.06 S.upf
Pt 195.08 Pt.upf
F 19.00 F.upf
CELL_PARAMETERS angstrom
6.0217 0.0000 0.0000
0.0000 6.0217 0.0000
3.0108 3.0108 3.8304
ATOMIC_POSITIONS angstrom
S 0.0000 0.0000 0.0000
S 6.0217 3.0108 1.9152
Pt 4.6895 1.5054 0.9576
Pt 1.3322 4.5163 0.9576
Pt 4.5163 4.3430 2.8728
Pt 7.5271 7.7003 2.8728
F 3.0108 3.0108 0.0000
F 3.0108 6.0217 1.9152
```

The value obtained for the excess energy over the best structure of this formula in the dataset is 0 meV per atom.

---

No. 11
Computed, not measured: a geometry-optimized PtS2F structure at the PBE-GGA level of DFT. Values from VASP.

Quantum ESPRESSO input file:
```
&SYSTEM
  ibrav = 0, nat = 8, ntyp = 3
/
ATOMIC_SPECIES
S 32.06 S.upf
Pt 195.08 Pt.upf
F 19.00 F.upf
CELL_PARAMETERS angstrom
6.2238 0.0000 0.0000
0.0000 6.2238 0.0000
3.1119 3.1119 3.9160
ATOMIC_POSITIONS angstrom
S 4.9090 1.5560 0.9790
S 1.3149 4.6679 0.9790
S 4.6679 4.4268 2.9370
S 7.7798 8.0209 2.9370
Pt 0.0000 0.0000 0.0000
Pt 6.2238 3.1119 1.9580
F 3.1119 3.1119 0.0000
F 3.1119 6.2238 1.9580
```

The value obtained for the excess energy over the best structure of this formula in the dataset is 345 meV per atom.

---

No. 12
Computed, not measured: a geometry-optimized PtSF2 structure at the PBE-GGA level of DFT. Values from VASP.

Quantum ESPRESSO input file:
```
&SYSTEM
  ibrav = 0, nat = 8, ntyp = 3
/
ATOMIC_SPECIES
S 32.06 S.upf
Pt 195.08 Pt.upf
F 19.00 F.upf
CELL_PARAMETERS angstrom
3.5549 0.0000 0.0000
0.0000 3.5549 0.0000
1.7774 1.7774 8.0957
ATOMIC_POSITIONS angstrom
S 1.7774 1.7774 0.0000
S 1.7774 3.5549 4.0478
Pt 0.0000 0.0000 0.0000
Pt 3.5549 1.7774 4.0478
F 2.6918 0.8887 2.0239
F 0.8630 2.6661 2.0239
F 2.6661 2.6405 6.0718
F 4.4436 4.4693 6.0718
```

The value obtained for the excess energy over the best structure of this formula in the dataset is 233 meV per atom.

---

no.,E_form (uncorrected) (eV per atom),total energy (eV per atom)
1,-1.289,-6.39
2,-0.251,-3.41
3,-0.646,-4.66
4,0.230,-2.93
5,-0.660,-4.67
6,-0.437,-4.51
7,0.089,-3.95
8,0.344,-3.13
9,-0.216,-4.26
10,-0.113,-4.63
11,-0.093,-4.13
12,-0.215,-3.69